(1)
{"formula": "CsKTeSe2", "functional": "GGA-PBE", "state": "optimized geometry", "cell": [[6.846, 0.000, 0.000], [0.000, 7.167, 0.000], [0.000, -3.584, 7.232]], "species": ["Se", "Se", "K", "Cs", "Se", "Te", "Cs", "Te", "K", "Se"], "fractional_positions": [[0.750, 0.843, 0.685], [0.250, 0.343, 0.685], [0.500, 0.750, 0.000], [0.762, 0.250, 0.500], [0.750, 0.657, 0.315], [0.000, 0.000, 0.000], [0.238, 0.750, 0.500], [0.000, 0.500, 0.000], [0.500, 0.250, 0.000], [0.250, 0.157, 0.315]], "raw_formation_energy_mev_per_atom": -689, "sg": "No. 67", "energy_ev_per_atom": -3.101, "total_magnetization_mub_per_fu": 0.41, "dos_at_fermi_per_ev_cell": 7.736}



(2)
{"formula": "CsKTeSe", "functional": "GGA-PBE", "state": "optimized geometry", "cell": [[5.840, 0.000, 0.000], [-2.920, 5.058, 0.000], [0.000, 0.000, 6.082]], "species": ["K", "Se", "Cs", "Te"], "fractional_positions": [[0.333, 0.667, 0.773], [0.000, 0.000, 0.062], [0.667, 0.333, 0.236], [0.000, 0.000, 0.499]], "raw_formation_energy_mev_per_atom": -864, "sg": "No. 156", "energy_ev_per_atom": -3.009, "total_magnetization_mub_per_fu": 0.00, "dos_at_fermi_per_ev_cell": 0.241}



(3)
{"formula": "CsK2TeSe", "functional": "GGA-PBE", "state": "optimized geometry", "cell": [[-5.639, 2.304, -1.263], [1.254, -0.267, -6.087], [-2.501, -6.253, -0.241]], "species": ["Te", "Cs", "K", "K", "Se"], "fractional_positions": [[0.500, 0.500, 0.500], [0.000, 0.000, 0.500], [0.500, 0.000, 0.000], [0.000, 0.500, 0.000], [0.000, 0.000, 0.000]], "raw_formation_energy_mev_per_atom": -745, "sg": "No. 123", "energy_ev_per_atom": -2.680, "total_magnetization_mub_per_fu": 1.01, "dos_at_fermi_per_ev_cell": 9.712}



(4)
{"formula": "Cs3KTh2Se6", "functional": "GGA-PBE", "state": "optimized geometry", "cell": [[4.471, 0.000, 0.000], [0.000, 9.991, -0.032], [-2.235, -3.282, 10.087]], "species": ["Se", "Se", "Se", "Se", "Se", "K", "Cs", "Th", "Se", "Cs", "Th", "Cs"], "fractional_positions": [[0.970, 0.745, 0.941], [0.318, 0.457, 0.636], [0.326, 0.857, 0.653], [0.682, 0.543, 0.364], [0.674, 0.143, 0.347], [0.500, 0.000, 0.000], [0.154, 0.833, 0.308], [0.167, 0.331, 0.333], [0.030, 0.255, 0.059], [0.500, 0.500, 0.000], [0.833, 0.669, 0.667], [0.846, 0.167, 0.692]], "raw_formation_energy_mev_per_atom": -1560, "sg": "No. 12", "energy_ev_per_atom": -4.844, "total_magnetization_mub_per_fu": 0.00, "dos_at_fermi_per_ev_cell": 0.000}



(5)
{"formula": "CsK3Th2Se6", "functional": "GGA-PBE", "state": "optimized geometry", "cell": [[4.457, 0.000, 0.000], [0.000, 9.646, 0.451], [-2.229, -2.681, 9.694]], "species": ["K", "Se", "Se", "Cs", "Th", "Se", "Th", "Se", "K", "Se", "K", "Se"], "fractional_positions": [[0.500, 0.500, 0.000], [0.678, 0.555, 0.356], [0.320, 0.856, 0.640], [0.500, 0.000, 0.000], [0.168, 0.338, 0.335], [0.027, 0.282, 0.054], [0.832, 0.662, 0.665], [0.973, 0.718, 0.946], [0.845, 0.170, 0.689], [0.680, 0.144, 0.360], [0.155, 0.830, 0.311], [0.322, 0.445, 0.644]], "raw_formation_energy_mev_per_atom": -1540, "sg": "No. 12", "energy_ev_per_atom": -4.864, "total_magnetization_mub_per_fu": 0.00, "dos_at_fermi_per_ev_cell": 0.000}



(6)
{"formula": "Cs4KTh3Se8", "functional": "GGA-PBE", "state": "optimized geometry", "cell": [[-1.991, 0.047, 8.724], [-4.408, -8.726, -0.959], [8.529, 0.576, -2.646]], "species": ["Se", "Se", "Se", "Cs", "Th", "Th", "Se", "Th", "Se", "Cs", "Cs", "K", "Cs", "Se", "Se", "Se"], "fractional_positions": [[0.298, 0.310, 0.054], [0.270, 0.311, 0.540], [0.244, 0.690, 0.488], [0.500, 0.000, 0.500], [0.000, 0.500, 0.500], [0.500, 0.500, 0.000], [0.756, 0.310, 0.054], [0.500, 0.500, 0.500], [0.244, 0.690, 0.946], [0.500, 0.000, 0.000], [0.000, 0.000, 0.000], [0.000, 0.500, 0.000], [0.000, 0.000, 0.500], [0.702, 0.690, 0.946], [0.756, 0.310, 0.512], [0.730, 0.689, 0.460]], "raw_formation_energy_mev_per_atom": -1542, "sg": "No. 166", "energy_ev_per_atom": -4.957, "total_magnetization_mub_per_fu": 0.00, "dos_at_fermi_per_ev_cell": 6.064}



(7)
{"formula": "Cs2KTiSe4", "functional": "GGA-PBE", "state": "optimized geometry", "cell": [[7.507, 0.000, 0.000], [3.754, 7.448, 0.000], [3.754, 0.000, 11.708]], "species": ["Se", "Cs", "Se", "Ti", "Cs", "Se", "Se", "Cs", "Se", "Cs", "K", "Se", "Ti", "K", "Se", "Se"], "fractional_positions": [[0.355, 0.808, 0.118], [0.935, 0.500, 0.131], [0.469, 0.308, 0.618], [0.500, 0.000, 0.000], [0.185, 0.000, 0.631], [0.913, 0.692, 0.618], [0.223, 0.308, 0.382], [0.815, 0.000, 0.369], [0.837, 0.808, 0.882], [0.565, 0.500, 0.869], [0.750, 0.500, 0.500], [0.281, 0.192, 0.882], [0.250, 0.500, 0.500], [0.000, 0.000, 0.000], [0.527, 0.192, 0.118], [0.395, 0.692, 0.382]], "raw_formation_energy_mev_per_atom": -1004, "sg": "No. 70", "energy_ev_per_atom": -4.084, "total_magnetization_mub_per_fu": 0.00, "dos_at_fermi_per_ev_cell": 11.277}



(8)
{"formula": "Cs2KTl2Se4", "functional": "GGA-PBE", "state": "optimized geometry", "cell": [[4.916, 0.000, 0.000], [-2.458, 8.940, 0.170], [0.000, -2.894, 7.826]], "species": ["Se", "Se", "Se", "Cs", "Cs", "Tl", "Se", "Tl", "K"], "fractional_positions": [[0.790, 0.579, 0.828], [0.470, 0.940, 0.258], [0.210, 0.421, 0.172], [0.876, 0.753, 0.463], [0.124, 0.247, 0.537], [0.667, 0.334, 0.994], [0.530, 0.060, 0.742], [0.333, 0.666, 0.006], [0.000, 0.000, 0.000]], "raw_formation_energy_mev_per_atom": -770, "sg": "No. 12", "energy_ev_per_atom": -3.156, "total_magnetization_mub_per_fu": 0.00, "dos_at_fermi_per_ev_cell": 2.454}



(9)
{"formula": "CsKTlSe2", "functional": "GGA-PBE", "state": "optimized geometry", "cell": [[7.216, 0.000, 0.000], [0.000, 7.116, 0.000], [0.000, -3.558, 7.564]], "species": ["K", "Cs", "Se", "Se", "Cs", "Se", "Tl", "Se", "K", "Tl"], "fractional_positions": [[0.500, 0.250, 0.000], [0.233, 0.750, 0.500], [0.754, 0.642, 0.283], [0.754, 0.858, 0.717], [0.767, 0.250, 0.500], [0.246, 0.142, 0.283], [0.000, 0.000, 0.000], [0.246, 0.358, 0.717], [0.500, 0.750, 0.000], [0.000, 0.500, 0.000]], "raw_formation_energy_mev_per_atom": -664, "sg": "No. 67", "energy_ev_per_atom": -2.921, "total_magnetization_mub_per_fu": 0.00, "dos_at_fermi_per_ev_cell": 1.819}



(10)
{"formula": "CsK2USe6", "functional": "GGA-PBE", "state": "optimized geometry", "cell": [[8.772, 0.000, -1.237], [0.000, 8.312, 0.000], [-1.528, 0.000, 10.046]], "species": ["Cs", "Se", "K", "Se", "Se", "U", "Se", "Se", "Cs", "Se", "K", "Se", "Se", "U", "K", "Se", "Se", "Se", "Se", "K"], "fractional_positions": [[0.500, 0.000, 0.000], [0.722, 0.237, 0.642], [0.025, 0.016, 0.787], [0.741, 0.768, 0.608], [0.259, 0.232, 0.392], [0.000, 0.500, 0.000], [0.241, 0.732, 0.108], [0.759, 0.268, 0.892], [0.000, 0.500, 0.500], [0.176, 0.397, 0.846], [0.525, 0.484, 0.287], [0.222, 0.263, 0.142], [0.824, 0.603, 0.154], [0.500, 0.000, 0.500], [0.975, 0.984, 0.213], [0.778, 0.737, 0.858], [0.278, 0.763, 0.358], [0.676, 0.103, 0.346], [0.324, 0.897, 0.654], [0.475, 0.516, 0.713]], "raw_formation_energy_mev_per_atom": -948, "sg": "No. 14", "energy_ev_per_atom": -4.473, "total_magnetization_mub_per_fu": 1.00, "dos_at_fermi_per_ev_cell": 5.386}



(11)
{"formula": "Cs2KU2Se7", "functional": "GGA-PBE", "state": "optimized geometry", "cell": [[-3.080, -0.964, -4.416], [-0.726, -5.169, 1.634], [-13.714, 0.939, 5.989]], "species": ["Se", "U", "K", "Cs", "Se", "Se", "Se", "Cs", "Se", "Se", "U", "Se"], "fractional_positions": [[0.590, 0.091, 0.818], [0.594, 0.594, 0.811], [0.000, 0.000, 0.000], [0.816, 0.816, 0.371], [0.500, 0.500, 0.000], [0.091, 0.590, 0.818], [0.909, 0.410, 0.182], [0.184, 0.184, 0.629], [0.317, 0.317, 0.369], [0.683, 0.683, 0.631], [0.406, 0.406, 0.189], [0.410, 0.909, 0.182]], "raw_formation_energy_mev_per_atom": -1178, "sg": "No. 12", "energy_ev_per_atom": -5.325, "total_magnetization_mub_per_fu": 0.99, "dos_at_fermi_per_ev_cell": 8.128}



(12)
{"formula": "Cs2KUSe4", "functional": "GGA-PBE", "state": "optimized geometry", "cell": [[4.419, 0.000, 0.000], [0.000, 8.629, -0.411], [0.000, 2.796, 7.608]], "species": ["Cs", "Se", "Se", "Se", "Se", "U", "K", "Cs"], "fractional_positions": [[0.500, 0.000, 0.500], [0.500, 0.317, 0.692], [0.000, 0.687, 0.711], [0.500, 0.683, 0.308], [0.000, 0.313, 0.289], [0.000, 0.500, 0.500], [0.500, 0.500, 0.000], [0.000, 0.000, 0.000]], "raw_formation_energy_mev_per_atom": -1217, "sg": "No. 10", "energy_ev_per_atom": -4.721, "total_magnetization_mub_per_fu": 1.00, "dos_at_fermi_per_ev_cell": 4.934}



(13)
{"formula": "CsKUSe3", "functional": "GGA-PBE", "state": "optimized geometry", "cell": [[-4.398, -5.686, 2.532], [1.126, -5.493, -5.715], [6.768, -5.726, 1.229]], "species": ["Se", "Se", "Cs", "Se", "K", "U", "Cs", "Se", "Se", "U", "K", "Se"], "fractional_positions": [[0.005, 0.737, 0.084], [0.505, 0.821, 0.916], [0.250, 0.250, 0.501], [0.495, 0.179, 0.084], [0.750, 0.419, 0.163], [0.250, 0.948, 0.104], [0.750, 0.750, 0.499], [0.995, 0.263, 0.916], [0.750, 0.219, 0.562], [0.750, 0.052, 0.896], [0.250, 0.581, 0.837], [0.250, 0.781, 0.438]], "raw_formation_energy_mev_per_atom": -1205, "sg": "No. 15", "energy_ev_per_atom": -5.154, "total_magnetization_mub_per_fu": 2.00, "dos_at_fermi_per_ev_cell": 15.116}



(14)
{"formula": "CsK2U3Se8", "functional": "GGA-PBE", "state": "optimized geometry", "cell": [[8.592, 0.000, 0.000], [4.296, 7.441, 0.000], [4.296, 2.480, 8.187]], "species": ["Se", "Se", "Se", "Se", "Se", "K", "Se", "U", "K", "Cs", "U", "U", "Se", "Se"], "fractional_positions": [[0.270, 0.270, 0.189], [0.245, 0.245, 0.816], [0.245, 0.695, 0.816], [0.695, 0.245, 0.816], [0.313, 0.753, 0.181], [0.130, 0.130, 0.609], [0.725, 0.725, 0.824], [0.002, 0.499, 0.000], [0.500, 0.500, 0.501], [0.863, 0.863, 0.411], [0.499, 0.499, 0.000], [0.499, 0.002, 0.000], [0.753, 0.753, 0.181], [0.753, 0.313, 0.181]], "raw_formation_energy_mev_per_atom": -1193, "sg": "No. 160", "energy_ev_per_atom": -5.821, "total_magnetization_mub_per_fu": 5.00, "dos_at_fermi_per_ev_cell": 15.826}



(15)
{"formula": "Cs2KUSe6", "functional": "GGA-PBE", "state": "optimized geometry", "cell": [[-7.572, 2.479, -2.408], [-2.862, -7.738, 1.033], [-6.584, -1.373, 4.894]], "species": ["Cs", "Se", "Se", "Se", "Se", "Cs", "K", "Se", "Se", "U"], "fractional_positions": [[0.750, 0.250, 0.500], [0.274, 0.275, 0.451], [0.725, 0.726, 0.000], [0.275, 0.274, 0.000], [0.275, 0.725, 0.000], [0.250, 0.750, 0.500], [0.000, 0.000, 0.000], [0.726, 0.725, 0.549], [0.725, 0.275, 0.000], [0.500, 0.500, 0.000]], "raw_formation_energy_mev_per_atom": -863, "sg": "No. 166", "energy_ev_per_atom": -4.363, "total_magnetization_mub_per_fu": 2.66, "dos_at_fermi_per_ev_cell": 6.083}



(16)
{"formula": "Cs3KU2Se9", "functional": "GGA-PBE", "state": "optimized geometry", "cell": [[-3.663, -4.825, 5.112], [6.078, -2.684, -4.323], [6.507, 2.866, 7.368]], "species": ["Se", "Se", "Se", "K", "U", "Se", "Cs", "Se", "U", "Cs", "Se", "Se", "Se", "Se", "Cs"], "fractional_positions": [[0.178, 0.822, 0.298], [0.822, 0.178, 0.702], [0.500, 0.500, 0.000], [0.000, 0.000, 0.500], [0.333, 0.667, 0.151], [0.644, 0.822, 0.298], [0.667, 0.333, 0.340], [0.500, 0.000, 0.000], [0.667, 0.333, 0.849], [0.000, 0.000, 0.000], [0.178, 0.356, 0.298], [0.000, 0.500, 0.000], [0.356, 0.178, 0.702], [0.822, 0.644, 0.702], [0.333, 0.667, 0.660]], "raw_formation_energy_mev_per_atom": -1027, "sg": "No. 164", "energy_ev_per_atom": -4.867, "total_magnetization_mub_per_fu": 0.00, "dos_at_fermi_per_ev_cell": 8.764}



(17)
{"formula": "Cs2K3USe6", "functional": "GGA-PBE", "state": "optimized geometry", "cell": [[8.534, 0.048, -0.048], [-4.223, 7.416, -0.048], [-1.480, -2.563, 7.289]], "species": ["Se", "Cs", "K", "Se", "K", "Se", "Se", "K", "Se", "Se", "U", "Cs"], "fractional_positions": [[0.817, 0.817, 0.211], [0.334, 0.666, 0.000], [0.168, 0.832, 0.500], [0.927, 0.666, 0.778], [0.832, 0.168, 0.500], [0.666, 0.927, 0.778], [0.073, 0.334, 0.222], [0.500, 0.500, 0.500], [0.183, 0.183, 0.789], [0.334, 0.073, 0.222], [0.000, 0.000, 0.000], [0.666, 0.334, 0.000]], "raw_formation_energy_mev_per_atom": -1114, "sg": "No. 12", "energy_ev_per_atom": -4.214, "total_magnetization_mub_per_fu": 1.02, "dos_at_fermi_per_ev_cell": 12.979}



(18)
{"formula": "Cs2KVSe4", "functional": "GGA-PBE", "state": "optimized geometry", "cell": [[7.422, 0.000, 0.000], [3.711, 6.976, 0.000], [3.711, 0.000, 13.446]], "species": ["V", "Se", "K", "Cs", "Cs", "Se", "K", "Cs", "Se", "V", "Se", "Cs", "Se", "Se", "Se", "Se"], "fractional_positions": [[0.250, 0.500, 0.500], [0.930, 0.695, 0.601], [0.750, 0.500, 0.500], [0.814, 0.000, 0.371], [0.186, 0.000, 0.629], [0.524, 0.195, 0.101], [0.000, 0.000, 0.000], [0.936, 0.500, 0.129], [0.226, 0.305, 0.399], [0.500, 0.000, 0.000], [0.469, 0.305, 0.601], [0.564, 0.500, 0.871], [0.820, 0.805, 0.899], [0.375, 0.805, 0.101], [0.281, 0.195, 0.899], [0.375, 0.695, 0.399]], "raw_formation_energy_mev_per_atom": -967, "sg": "No. 70", "energy_ev_per_atom": -4.200, "total_magnetization_mub_per_fu": 0.00}



(19)
{"formula": "CsKVSe3", "functional": "GGA-PBE", "state": "optimized geometry", "cell": [[7.431, -0.496, 0.365], [3.043, 6.797, 0.365], [3.308, 1.990, 8.699]], "species": ["Cs", "Se", "K", "Se", "Se", "Cs", "Se", "Se", "K", "Se", "V", "V"], "fractional_positions": [[0.681, 0.681, 0.806], [0.768, 0.768, 0.352], [0.722, 0.278, 0.500], [0.864, 0.298, 0.137], [0.232, 0.232, 0.648], [0.319, 0.319, 0.194], [0.702, 0.136, 0.863], [0.298, 0.864, 0.137], [0.278, 0.722, 0.500], [0.136, 0.702, 0.863], [0.030, 0.030, 0.844], [0.970, 0.970, 0.156]], "raw_formation_energy_mev_per_atom": -846, "sg": "No. 12", "energy_ev_per_atom": -4.433, "total_magnetization_mub_per_fu": 0.00}



(20)
{"formula": "CsK2VSe4", "functional": "GGA-PBE", "state": "optimized geometry", "cell": [[-1.964, -5.937, 3.931], [-1.664, -1.882, -6.946], [7.140, 1.700, 0.831]], "species": ["Se", "Se", "Se", "Cs", "K", "K", "V", "Se"], "fractional_positions": [[0.978, 0.306, 0.000], [0.022, 0.022, 0.328], [0.694, 0.694, 0.672], [0.500, 0.500, 0.000], [0.250, 0.750, 0.500], [0.750, 0.250, 0.500], [0.000, 0.000, 0.000], [0.306, 0.978, 0.000]], "raw_formation_energy_mev_per_atom": -1027, "sg": "No. 121", "energy_ev_per_atom": -4.290, "total_magnetization_mub_per_fu": 0.00}